(1)
# Cr4Re

A relaxed Cr4Re crystal (GGA-PBE, Alexandria via LeMat-Bulk).

Computed properties:
Polymorph energy (0 for the lowest one), kJ/mol of formula units: 35
Formation energy from the elements, eV/f.u.: 0.39
Calculated total energy, Ha/atom: -0.372

a b c (Å): 8.977 8.977 4.655
angles (deg): 90.00 90.00 90.00
Sites, in units of the cell vectors:
Cr 0.035 0.376 0.000
Cr 0.065 0.266 0.500
Cr 0.124 0.535 0.500
Cr 0.186 0.814 0.245
Cr 0.186 0.814 0.755
Cr 0.234 0.565 0.000
Cr 0.266 0.065 0.500
Cr 0.314 0.314 0.255
Cr 0.314 0.314 0.745
Cr 0.376 0.035 0.000
Cr 0.435 0.766 0.000
Cr 0.465 0.876 0.500
Cr 0.535 0.124 0.500
Cr 0.565 0.234 0.000
Cr 0.624 0.965 0.000
Cr 0.686 0.686 0.255
Cr 0.686 0.686 0.745
Cr 0.734 0.935 0.500
Cr 0.766 0.435 0.000
Cr 0.814 0.186 0.245
Cr 0.814 0.186 0.755
Cr 0.876 0.465 0.500
Cr 0.935 0.734 0.500
Cr 0.965 0.624 0.000
Re 0.000 0.000 0.500
Re 0.109 0.109 0.000
Re 0.391 0.609 0.500
Re 0.500 0.500 0.000
Re 0.609 0.391 0.500
Re 0.891 0.891 0.000

---

(2)
# Ce3Te2I2

A relaxed Ce3Te2I2 crystal (GGA-PBE, Alexandria via LeMat-Bulk).

Computed properties:
Formation energy from raw total energies, eV per atom: -1.241
Calculated total energy, Ha/atom: -0.188

a b c (Å): 7.741 7.741 7.864
angles (deg): 100.24 100.24 32.89
Sites, in units of the cell vectors:
Ce 0.000 0.000 0.000
Ce 0.254 0.254 0.783
Ce 0.746 0.746 0.217
Te 0.385 0.385 0.152
Te 0.615 0.615 0.848
I 0.125 0.125 0.385
I 0.875 0.875 0.615

---

(3)
# Sm8Y6Pb

A relaxed Sm8Y6Pb crystal (GGA-PBE, Alexandria via LeMat-Bulk).

Computed properties:
Formation energy from the elements, eV/f.u.: 0.96
Calculated total energy, Ha/atom: -0.194

a b c (Å): 9.388 9.388 6.547
angles (deg): 90.00 90.00 120.00
Sites, in units of the cell vectors:
Sm 0.041 0.771 0.178
Sm 0.229 0.270 0.178
Sm 0.270 0.041 0.822
Sm 0.333 0.667 0.165
Sm 0.667 0.333 0.835
Sm 0.730 0.959 0.178
Sm 0.771 0.730 0.822
Sm 0.959 0.229 0.822
Y 0.096 0.649 0.668
Y 0.351 0.447 0.668
Y 0.447 0.096 0.332
Y 0.553 0.904 0.668
Y 0.649 0.553 0.332
Y 0.904 0.351 0.332
Pb 0.000 0.000 0.500

---

(4)
# K3Ta2O7

A relaxed K3Ta2O7 crystal (GGA-PBE, Alexandria via LeMat-Bulk).

Computed properties:
Polymorph energy (0 for the lowest one), kJ/mol of formula units: 0
Formation energy from raw total energies, eV per atom: -2.380
Calculated total energy, Ha/atom: -0.276

a b c (Å): 11.394 11.394 11.394
angles (deg): 159.61 159.61 28.99
Sites, in units of the cell vectors:
K 0.000 0.000 0.000
K 0.193 0.193 0.000
K 0.807 0.807 0.000
Ta 0.404 0.404 0.000
Ta 0.596 0.596 0.000
O 0.091 0.591 0.500
O 0.318 0.318 0.000
O 0.409 0.909 0.500
O 0.500 0.500 0.000
O 0.591 0.091 0.500
O 0.682 0.682 0.000
O 0.909 0.409 0.500

---

(5)
# Sn2Mo2Au

A relaxed Sn2Mo2Au crystal (GGA-PBE, Alexandria via LeMat-Bulk).

Computed properties:
Formation energy from the elements, eV/f.u.: 1.30
Calculated total energy, Ha/atom: -0.233

a b c (Å): 7.325 7.325 3.646
angles (deg): 90.00 90.00 90.00
Sites, in units of the cell vectors:
Sn 0.171 0.329 0.000
Sn 0.329 0.829 0.000
Sn 0.671 0.171 0.000
Sn 0.829 0.671 0.000
Mo 0.125 0.625 0.500
Mo 0.375 0.125 0.500
Mo 0.625 0.875 0.500
Mo 0.875 0.375 0.500
Au 0.000 0.000 0.500
Au 0.500 0.500 0.500

---

(6)
# LiIn8Pd6

A relaxed LiIn8Pd6 crystal (GGA-PBE, Alexandria via LeMat-Bulk).

Computed properties:
Formation energy from the elements, eV/f.u.: -7.31
Calculated total energy, Ha/atom: -0.153

a b c (Å): 7.208 7.208 7.208
angles (deg): 66.44 66.44 66.44
Sites, in units of the cell vectors:
Li 0.000 0.000 0.000
In 0.123 0.431 0.798
In 0.202 0.877 0.569
In 0.333 0.333 0.333
In 0.431 0.798 0.123
In 0.569 0.202 0.877
In 0.667 0.667 0.667
In 0.798 0.123 0.431
In 0.877 0.569 0.202
Pd 0.049 0.717 0.384
Pd 0.283 0.616 0.951
Pd 0.384 0.049 0.717
Pd 0.616 0.951 0.283
Pd 0.717 0.384 0.049
Pd 0.951 0.283 0.616